No. 1
RuSBr2 | PBE-GGA | relaxed

a = 4.792 Å, b = 4.792 Å, c = 4.792 Å
α = 60.00°, β = 60.00°, γ = 60.00°
Fractional coordinates of all 4 atoms:
Ru 0.500 0.500 0.500
Br 0.750 0.750 0.750
S 0.000 0.000 0.000
Br 0.250 0.250 0.250

Computed properties:
The volume is 19.45 A^3/atom. Its formation energy (no corrections) is 1093 meV per atom. The calculation puts the magnetization at 2.06 μB per formula unit. The crystal system is cubic. The polymorph energy (0 for the lowest one) is 547 meV per atom.

No. 2
RuS4Br | PBE-GGA | relaxed

a = 6.465 Å, b = 7.397 Å, c = 8.205 Å
α = 115.95°, β = 99.99°, γ = 103.92°
Fractional coordinates of all 12 atoms:
Br 0.750 0.569 0.378
S 0.535 0.817 0.109
Ru 0.304 0.989 0.030
Br 0.250 0.431 0.622
S 0.107 0.900 0.219
S 0.084 0.232 0.055
S 0.916 0.768 0.945
S 0.658 0.181 0.279
Ru 0.696 0.011 0.970
S 0.893 0.100 0.781
S 0.342 0.819 0.721
S 0.465 0.183 0.891

Computed properties:
The volume is 27.04 A^3/atom. Its formation energy (no corrections) is -61 meV per atom. The calculation puts the magnetization at 0.00 μB per formula unit. The crystal system is triclinic.

No. 3
Ru3SBr | PBE-GGA | relaxed

a = 4.462 Å, b = 4.462 Å, c = 4.462 Å
α = 90.00°, β = 90.00°, γ = 90.00°
Fractional coordinates of all 5 atoms:
Ru 0.000 0.500 0.000
S 0.000 0.000 0.000
Br 0.500 0.500 0.500
Ru 0.000 0.000 0.500
Ru 0.500 0.000 0.000

Computed properties:
The volume is 17.76 A^3/atom. Its formation energy (no corrections) is 889 meV per atom. The calculation puts the magnetization at 3.40 μB per formula unit. The crystal system is cubic. The polymorph energy (0 for the lowest one) is 0 meV per atom.

No. 4
Ru2SBr | PBE-GGA | relaxed

a = 4.396 Å, b = 4.396 Å, c = 4.396 Å
α = 60.00°, β = 60.00°, γ = 60.00°
Fractional coordinates of all 4 atoms:
S 0.000 0.000 0.000
Ru 0.750 0.750 0.750
Br 0.500 0.500 0.500
Ru 0.250 0.250 0.250

Computed properties:
The volume is 15.02 A^3/atom. Its formation energy (no corrections) is 707 meV per atom. The calculation puts the magnetization at 0.00 μB per formula unit. The crystal system is cubic. The polymorph energy (0 for the lowest one) is 385 meV per atom.

No. 5
RuSBr2 | PBE-GGA | relaxed

a = 12.114 Å, b = 12.114 Å, c = 12.114 Å
α = 13.94°, β = 13.94°, γ = 13.94°
Fractional coordinates of all 4 atoms:
Br 0.066 0.066 0.066
Ru 0.000 0.000 0.000
Br 0.934 0.934 0.934
S 0.500 0.500 0.500

Computed properties:
The volume is 22.46 A^3/atom. Its formation energy (no corrections) is 741 meV per atom. The calculation puts the magnetization at 0.21 μB per formula unit. The crystal system is trigonal. The polymorph energy (0 for the lowest one) is 196 meV per atom.

No. 6
RuSe2SBr | PBE-GGA | relaxed

a = 4.807 Å, b = 4.807 Å, c = 5.041 Å
α = 90.00°, β = 90.00°, γ = 90.00°
Fractional coordinates of all 5 atoms:
S 0.500 0.500 0.500
Se 0.500 0.000 0.000
Br 0.000 0.000 0.500
Ru 0.000 0.000 0.000
Se 0.000 0.500 0.000

Computed properties:
The volume is 23.29 A^3/atom. Its formation energy (no corrections) is 646 meV per atom. The calculation puts the magnetization at 0.00 μB per formula unit. The crystal system is tetragonal. The polymorph energy (0 for the lowest one) is 0 meV per atom.

No. 7
RuSe2SBr | PBE-GGA | relaxed

a = 4.867 Å, b = 4.867 Å, c = 4.990 Å
α = 90.00°, β = 90.00°, γ = 90.00°
Fractional coordinates of all 5 atoms:
Se 0.500 0.000 0.000
S 0.000 0.000 0.000
Br 0.000 0.000 0.500
Se 0.000 0.500 0.000
Ru 0.500 0.500 0.500

Computed properties:
The volume is 23.64 A^3/atom. Its formation energy (no corrections) is 1115 meV per atom. The calculation puts the magnetization at 3.62 μB per formula unit. The crystal system is tetragonal. The polymorph energy (0 for the lowest one) is 469 meV per atom.

No. 8
Sm6Ru2SBr3 | PBE-GGA | relaxed

a = 7.108 Å, b = 7.108 Å, c = 7.981 Å
α = 98.52°, β = 98.52°, γ = 119.99°
Fractional coordinates of all 12 atoms:
S 0.000 0.000 0.000
Sm 0.412 0.065 0.196
Sm 0.588 0.935 0.804
Br 0.500 0.500 0.500
Ru 0.667 0.333 0.000
Sm 0.065 0.412 0.196
Sm 0.283 0.283 0.804
Br 0.836 0.164 0.500
Sm 0.935 0.588 0.804
Ru 0.333 0.667 0.000
Br 0.164 0.836 0.500
Sm 0.717 0.717 0.196

Computed properties:
The volume is 27.80 A^3/atom. Its formation energy (no corrections) is -1078 meV per atom. The calculation puts the magnetization at 0.00 μB per formula unit. The crystal system is monoclinic.

No. 9
ZnRuSBr2 | PBE-GGA | relaxed

a = 5.287 Å, b = 4.364 Å, c = 5.287 Å
α = 90.00°, β = 90.00°, γ = 90.00°
Fractional coordinates of all 5 atoms:
S 0.000 0.500 0.000
Ru 0.000 0.000 0.000
Zn 0.500 0.500 0.500
Br 0.500 0.000 0.000
Br 0.000 0.000 0.500

Computed properties:
The volume is 24.40 A^3/atom. Its formation energy (no corrections) is 160 meV per atom. The calculation puts the magnetization at 0.00 μB per formula unit. The crystal system is tetragonal.

No. 10
SbRuBr2 | PBE-GGA | relaxed

a = 3.226 Å, b = 3.226 Å, c = 9.864 Å
α = 90.00°, β = 90.00°, γ = 90.00°
Fractional coordinates of all 4 atoms:
Sb 0.500 0.500 0.750
Br 0.000 0.000 0.423
Ru 0.500 0.500 0.250
Br 0.000 0.000 0.077

Computed properties:
The volume is 25.66 A^3/atom. Its formation energy (no corrections) is 571 meV per atom. The calculation puts the magnetization at 2.77 μB per formula unit. The crystal system is tetragonal. The polymorph energy (0 for the lowest one) is 595 meV per atom.

No. 11
SbRu2Br | PBE-GGA | relaxed

a = 8.221 Å, b = 8.221 Å, c = 8.221 Å
α = 22.46°, β = 22.46°, γ = 22.46°
Fractional coordinates of all 4 atoms:
Ru 0.503 0.503 0.503
Ru 0.997 0.997 0.997
Sb 0.250 0.250 0.250
Br 0.750 0.750 0.750

Computed properties:
The volume is 17.79 A^3/atom. Its formation energy (no corrections) is 429 meV per atom. The calculation puts the magnetization at 0.00 μB per formula unit. The crystal system is trigonal. The polymorph energy (0 for the lowest one) is 216 meV per atom.

No. 12
Sb2RuBr | PBE-GGA | relaxed

a = 8.432 Å, b = 8.432 Å, c = 8.432 Å
α = 157.67°, β = 152.04°, γ = 36.08°
Fractional coordinates of all 4 atoms:
Ru 0.798 0.298 0.500
Sb 0.927 0.927 0.000
Br 0.535 0.535 0.000
Sb 0.241 0.741 0.500

Computed properties:
The volume is 26.67 A^3/atom. Its formation energy (no corrections) is 77 meV per atom. The calculation puts the magnetization at 0.00 μB per formula unit. The crystal system is orthorhombic. The polymorph energy (0 for the lowest one) is 169 meV per atom.

Which of these has the highest formation energy (no corrections)? number 7

Among the records above, which one has the lowest formation energy (no corrections)? Sm6Ru2SBr3

Look up the formation energy (no corrections) of the sixth one. 646 meV per atom